Here is a geometry-optimized Ho4Ga16Ni3 structure from the Alexandria database. Energies are from PBE.

## Properties
**E**: -4.1648 eV per atom
**ΔE_f**: -0.51 eV/atom
**Size of the total moment**: 0.0 μB per formula unit

Geometry as CIF:
```
data_Ho4Ga16Ni3
_chemical_formula_sum 'Ho4 Ga16 Ni3'
_space_group_name_H-M_alt 'P 4/m m m'
_space_group_IT_number 123
_space_group_name_Hall '-P 4 2'
_cell_length_a 6.0876
_cell_length_b 6.0876
_cell_length_c 10.9590
_cell_angle_alpha 90.00
_cell_angle_beta 90.00
_cell_angle_gamma 90.00
loop_
_atom_site_label
_atom_site_type_symbol
_atom_site_fract_x
_atom_site_fract_y
_atom_site_fract_z
Ho1 Ho 0.0000 0.5000 0.1926
Ga1 Ga 0.0000 0.0000 0.1996
Ga2 Ga 0.2179 0.2179 0.0000
Ga3 Ga 0.2458 0.2458 0.3808
Ga4 Ga 0.5000 0.5000 0.2251
Ni1 Ni 0.0000 0.5000 0.5000
Ni2 Ni 0.5000 0.5000 0.0000
```